Material: InPd4
Method: DFT, PBE
State: optimized geometry

Cell lengths 5.2610, 5.2610, 5.2610 Å; angles 123.10, 123.10, 84.70 degrees
Fractional positions:
In  0.0000  0.0000  0.0000
Pd  0.2500  0.7500  0.5000
Pd  0.3396  0.3396  0.0000
Pd  0.6604  0.6604  0.0000
Pd  0.7500  0.2500  0.5000

Calculated values
Final energy in eV/cell: -22.6
Total magnetic moment in μB per formula unit: 0.000